SmI2O6 | PBE | optimized geometry

Space-group type: No. 15
Formation energy without anion corrections (eV/atom): -1.02

a b c (Å): 6.1466 7.7281 7.7281
angles (deg): 102.93 80.86 80.86
Positions (direct):
1 O 0.1679 0.0761 0.6270
2 O 0.1201 0.8174 0.9160
3 O 0.6679 0.6270 0.0761
4 O 0.3799 0.0840 0.1826
5 O 0.4569 0.2875 0.5012
6 O 0.5431 0.7125 0.4988
7 O 0.8799 0.1826 0.0840
8 O 0.9569 0.5012 0.2875
9 O 0.3321 0.3730 0.9239
10 O 0.8321 0.9239 0.3730
11 O 0.0431 0.4988 0.7125
12 O 0.6201 0.9160 0.8174
13 Sm 0.2500 0.0897 0.9103
14 Sm 0.7500 0.9103 0.0897
15 I 0.2107 0.1993 0.4439
16 I 0.2893 0.5561 0.8007
17 I 0.7893 0.8007 0.5561
18 I 0.7107 0.4439 0.1993